Density functional theory data (SCAN) for a crystal of SrReSb relaxed with PBEsol.

Cell lengths 4.5213, 4.5213, 4.3597 Å; angles 90.00, 90.00, 120.00 degrees
Closest atoms and distances in Å follow each position.
Space group P-6m2 (No. 187)
Unique sites:
Sr1 0.0000 0.0000 0.0000  6 Sb 3.40, 6 Re 3.40
Re1 0.3333 0.6667 0.5000  3 Sb 2.61
Sb1 0.6667 0.3333 0.5000  3 Re 2.61

Results
As for the formation energy without anion corrections: 7.38 kcal/mol of atoms.